# Ti2Te6As

An optimized crystal structure of Ti2Te6As (PBE, the Alexandria database).

Geometry as POSCAR:
```
Ti2Te6As
1.0
3.7063 0.0000 -0.8492
-0.5204 7.8845 -2.2713
0.1980 -0.2836 9.3767
Ti As Te
2 1 6
Cartesian
2.8625 4.9411 3.9808 Ti
0.5214 2.6598 2.2754 Ti
1.8531 0.0000 -0.4246 As
2.4762 0.6956 2.2948 Te
0.9077 6.9053 3.9614 Te
1.1385 2.9803 4.9688 Te
-0.0818 2.1137 -0.3569 Te
3.4657 5.4872 6.6131 Te
2.2454 4.6206 1.2874 Te
```

Properties
symmetry	C2/m, No. 12

# Ti2Te2As

An optimized crystal structure of Ti2Te2As (PBE, the Alexandria database).

Geometry as POSCAR:
```
Ti2Te2As
1.0
7.4941 0.0000 0.0000
0.0000 7.4941 0.0000
0.0000 0.0000 3.6878
As Te Ti
2 4 4
Cartesian
0.0000 0.0000 0.0000 As
3.7471 3.7471 0.0000 As
6.3848 2.6377 1.8439 Te
2.6377 1.1093 1.8439 Te
1.1093 4.8564 1.8439 Te
4.8564 6.3848 1.8439 Te
6.4007 4.8405 0.0000 Ti
4.8405 1.0934 0.0000 Ti
2.6536 6.4007 0.0000 Ti
1.0934 2.6536 0.0000 Ti
```

Properties
symmetry	P4/mbm, No. 127

# TiTe2As

An optimized crystal structure of TiTe2As (PBE, the Alexandria database).

Geometry as POSCAR:
```
TiTe2As
1.0
6.2210 0.0000 0.0000
0.0000 6.2210 0.0000
3.1105 3.1105 6.9417
Te As Ti
4 2 2
Cartesian
7.7763 7.6599 5.2063 Te
4.6658 4.7822 5.2063 Te
1.6717 4.6658 1.7354 Te
4.5494 1.5553 1.7354 Te
0.0000 0.0000 0.0000 As
6.2210 3.1105 3.4709 As
3.1105 3.1105 0.0000 Ti
3.1105 6.2210 3.4709 Ti
```

Properties
symmetry	I-42d, No. 122

| no. | ΔE_f (raw) (eV/atom) | DOS at the Fermi energy (states/eV per atom) |
| --- | --- | --- |
| 1 | -0.428 | 0.38 |
| 2 | -0.414 | 1.15 |
| 3 | 0.151 | 1.28 |